1.
VASP calculation (SCAN) on a PBEsol-optimized structure of BeCuRe2.

POSCAR file:
```
BeCuRe2
1.0
2.5807 0.0000 0.0000
0.0000 2.5807 0.0000
0.0000 0.0000 7.4627
Be Cu Re
1 1 2
Cartesian
0.0000 0.0000 0.0000
0.0000 0.0000 3.7314
1.2903 1.2903 1.7414
1.2903 1.2903 5.7213
```

Results
Total DFT energy (no corrections)   -40.174 eV/atom
ΔH_f (0 K)   1.05 eV per formula unit

2.
VASP calculation (SCAN) on a PBEsol-optimized structure of BeCu2Re.

POSCAR file:
```
BeCu2Re
1.0
2.5439 0.0000 0.0000
0.0000 3.7225 0.0000
0.0000 0.0000 4.9375
Be Cu Re
1 2 1
Cartesian
0.0000 0.0000 0.0000
1.2720 1.8613 1.1839
1.2720 1.8613 3.7536
0.0000 0.0000 2.4687
```

Results
Total DFT energy (no corrections)   -26.241 eV/atom
ΔH_f (0 K)   0.89 eV per formula unit

3.
VASP calculation (SCAN) on a PBEsol-optimized structure of Be2CuRe.

POSCAR file:
```
Be2CuRe
1.0
4.0250 -1.2697 0.0000
4.0250 1.2697 0.0000
-1.1924 0.0000 4.3581
Be Cu Re
2 1 1
Cartesian
1.6010 0.0000 1.1594
5.2565 0.0000 3.1987
4.0250 0.0000 0.0000
-0.5962 0.0000 2.1791
```

Results
Total DFT energy (no corrections)   -23.669 eV/atom
ΔH_f (0 K)   0.33 eV per formula unit
Offset from the most stable computed form   7 meV per atom

4.
VASP calculation (SCAN) on a PBEsol-optimized structure of BeCu2Rh.

POSCAR file:
```
BeCu2Rh
1.0
2.3488 -4.2817 0.0000
2.3488 4.2817 0.0000
-1.2722 0.0000 2.2747
Be Cu Rh
1 2 1
Cartesian
0.0000 0.0000 0.0000
0.5383 2.1409 1.1373
0.5383 -2.1409 1.1373
2.3488 0.0000 0.0000
```

Results
Total DFT energy (no corrections)   -17.200 eV/atom
ΔH_f (0 K)   -0.27 eV per formula unit

| no. | calculated volume (Å³ per cell) |
| --- | --- |
| 1 | 49.7 |
| 2 | 46.8 |
| 3 | 44.5 |
| 4 | 45.8 |